[1]
A plane-wave DFT calculation with PBE-GGA was carried out for a relaxed structure of Mg2Co.

Lattice parameters (Å, degrees): 11.1465 11.1465 11.1465 157.52 157.52 32.01
Last column: nearest neighbours and their distance in Å.
Fractional positions:
Mg  0.1226  0.3726  0.7500  8 Mg 2.84-3.07, 4 Co 2.97-3.04
Mg  0.2875  0.5375  0.7500  2 Co 2.59, 4 Mg 2.70-2.84
Mg  0.3726  0.1226  0.2500  8 Mg 2.84-3.07, 4 Co 2.97-3.04
Mg  0.4625  0.7125  0.7500  2 Co 2.59, 4 Mg 2.70-2.84
Mg  0.5375  0.2875  0.2500  2 Co 2.59, 4 Mg 2.70-2.84
Mg  0.6274  0.8774  0.7500  8 Mg 2.84-3.07, 4 Co 2.97-3.04
Mg  0.7125  0.4625  0.2500  2 Co 2.59, 4 Mg 2.70-2.84
Mg  0.8774  0.6274  0.2500  8 Mg 2.84-3.07, 4 Co 2.97-3.04
Co  0.0283  0.7783  0.2500  2 Co 2.49, 2 Mg 2.59
Co  0.2217  0.9717  0.2500  2 Co 2.49, 2 Mg 2.59
Co  0.7783  0.0283  0.7500  2 Co 2.49, 2 Mg 2.59
Co  0.9717  0.2217  0.7500  2 Co 2.49, 2 Mg 2.59

## Properties
- calculated volume (Å³/f.u.) = 50.6
- energy of formation (kcal/mol of atoms) = 3.9
- total magnetic moment (μB per formula unit) = 1.31

---

[2]
A plane-wave DFT calculation with PBE-GGA was carried out for a relaxed structure of KNa2AlIn.

Lattice parameters (Å, degrees): 5.9371 5.9371 5.3239 90.00 90.00 90.00
Last column: nearest neighbours and their distance in Å.
Fractional positions:
K  0.0000  0.0000  0.0000  8 Na 3.99, 4 In 4.20
Na  0.0000  0.5000  0.5000  2 Al 2.97
Na  0.5000  0.0000  0.5000  2 Al 2.97
Al  0.5000  0.5000  0.5000  2 In 2.66, 4 Na 2.97
In  0.5000  0.5000  0.0000  2 Al 2.66

## Properties
- calculated volume (Å³/f.u.) = 187.7
- energy of formation (kcal/mol of atoms) = 3.0
- total magnetic moment (μB per formula unit) = 0.00

---

[3]
A plane-wave DFT calculation with PBE-GGA was carried out for a relaxed structure of Tb8Bi2Os.

Lattice parameters (Å, degrees): 10.1112 10.1112 6.7913 105.31 105.31 28.76
Last column: nearest neighbours and their distance in Å.
Fractional positions:
Tb  0.0173  0.0173  0.2879  2 Os 2.96, 1 Tb 3.13, 1 Bi 3.25
Tb  0.2181  0.2181  0.8289  3 Bi 3.23-3.36, 4 Tb 3.38-3.42
Tb  0.3579  0.3579  0.4878  1 Os 2.76
Tb  0.4119  0.4119  0.0415  1 Os 3.12, 3 Tb 3.39-3.47, 2 Bi 3.44
Tb  0.5881  0.5881  0.9585  1 Os 3.12, 3 Tb 3.39-3.47, 2 Bi 3.44
Tb  0.6421  0.6421  0.5122  1 Os 2.76
Tb  0.7819  0.7819  0.1711  3 Bi 3.23-3.36, 4 Tb 3.38-3.42
Tb  0.9827  0.9827  0.7121  2 Os 2.96, 1 Tb 3.13, 1 Bi 3.25
Bi  0.1809  0.1809  0.2635  9 Tb 3.23-3.44
Bi  0.8191  0.8191  0.7365  9 Tb 3.23-3.44
Os  0.5000  0.5000  0.5000  6 Tb 2.76-2.96

## Properties
- calculated volume (Å³/f.u.) = 321.4
- energy of formation (kcal/mol of atoms) = -7.5
- total magnetic moment (μB per formula unit) = 0.00